[1]
# MgCu2Br

A geometry-optimized MgCu2Br structure (GGA-PBE, Alexandria via LeMat-Bulk).

It has space group Cm (No. 8), with a = 7.130 Å, b = 3.875 Å, c = 6.086 Å, α = 90.00°, β = 90.94° and γ = 90.00°. The distinct sites, in fractional coordinates, are Mg at (0.000, 0.000, 0.000), Cu at (0.171, 0.500, 0.769), Cu at (0.348, 0.000, 0.698) and Br at (0.331, 0.000, 0.281).

The raw formation energy is -0.56 eV per formula unit.

[2]
# SrPr4Er3Se8

A geometry-optimized SrPr4Er3Se8 structure (GGA-PBE, Alexandria via LeMat-Bulk).

It has space group R-3m (No. 166, hexagonal axes), with a = 8.3000 Å, b = 8.3000 Å, c = 21.0385 Å, α = 90.00°, β = 90.00° and γ = 120.00°. The distinct sites, in fractional coordinates, are Sr at (0.0000, 0.0000, 0.0000), Pr at (0.0000, 0.0000, 0.5000), Pr at (0.0000, 0.5000, 0.5000), Er at (0.0000, 0.5000, 0.0000), Se at (0.0000, 0.0000, 0.2572) and Se at (0.0102, 0.5051, 0.2549).

The raw formation energy is -28.74 eV per formula unit.

Question: Which value of raw formation energy does entry 1 give?
Answer: -0.56 eV per formula unit

Question: What is the raw formation energy in the second record?
Answer: -28.74 eV per formula unit